Here is a relaxed V2AuF crystal from Alexandria via LeMat-Bulk. Energies are from GGA+U.

The structure in CIF format:
```
data_V2AuF
_cell_length_a 6.441
_cell_length_b 6.441
_cell_length_c 6.441
_cell_angle_alpha 90.00
_cell_angle_beta 90.00
_cell_angle_gamma 90.00
_symmetry_space_group_name_H-M 'F m -3 m'
_symmetry_Int_Tables_number 225
_symmetry_space_group_name_Hall '-F 4 2 3'
loop_
_atom_site_label
_atom_site_fract_x
_atom_site_fract_y
_atom_site_fract_z
_atom_site_occupancy
V1 0.250 0.250 0.250 1
Au1 0.000 0.000 0.000 1
F1 0.000 0.000 0.500 1
```

## Properties
ΔE to the lowest computed polymorph: 0.134 eV/atom
magnetization: 25.46 Bohr magnetons per cell
crystal system: cubic
DOS at the Fermi energy: 10.69 states/eV per cell